(1)
DFT (PBE) results for a relaxed structure of RbCaAgF6.

CIF file:
```
data_RbCaAgF6
_cell_length_a 7.248
_cell_length_b 8.400
_cell_length_c 10.539
_cell_angle_alpha 90.00
_cell_angle_beta 90.00
_cell_angle_gamma 90.00
_symmetry_space_group_name_H-M 'I m m a'
_symmetry_Int_Tables_number 74
_symmetry_space_group_name_Hall '-I 2b 2'
loop_
_atom_site_label
_atom_site_type_symbol
_atom_site_fract_x
_atom_site_fract_y
_atom_site_fract_z
Rb1 Rb 0.000 0.250 0.141
Ca1 Ca 0.250 0.250 0.750
Ag1 Ag 0.000 0.000 0.500
F1 F 0.000 0.250 0.618
F2 F 0.000 0.250 0.878
F3 F 0.192 0.030 0.368
```

Crystal system = orthorhombic
Theoretical density = 3.6 g cm⁻³
Energy relative to the elements, uncorrected = -2.40 eV per atom

=====

(2)
DFT (PBE) results for a relaxed structure of LaTlRe2.

CIF file:
```
data_LaTlRe2
_cell_length_a 2.9971
_cell_length_b 2.9971
_cell_length_c 30.8867
_cell_angle_alpha 90.00
_cell_angle_beta 90.00
_cell_angle_gamma 120.00
_symmetry_space_group_name_H-M 'R -3 m'
_symmetry_Int_Tables_number 166
_symmetry_space_group_name_Hall '-R 3 2"'
loop_
_atom_site_label
_atom_site_type_symbol
_atom_site_fract_x
_atom_site_fract_y
_atom_site_fract_z
La1 La 0.0000 0.0000 0.0000
Tl1 Tl 0.0000 0.0000 0.5000
Re1 Re 0.0000 0.0000 0.2435
```

Crystal system = trigonal
ΔE_f = 1.1398 eV/atom
Theoretical density = 14.8 g cm⁻³

=====

(3)
DFT (PBE) results for a relaxed structure of CsTiIr2I.

CIF file:
```
data_CsTiIr2I
_cell_length_a 4.830
_cell_length_b 4.830
_cell_length_c 5.937
_cell_angle_alpha 90.00
_cell_angle_beta 90.00
_cell_angle_gamma 90.00
_symmetry_space_group_name_H-M 'P 4/m m m'
_symmetry_Int_Tables_number 123
_symmetry_space_group_name_Hall '-P 4 2'
loop_
_atom_site_label
_atom_site_type_symbol
_atom_site_fract_x
_atom_site_fract_y
_atom_site_fract_z
Cs1 Cs 0.000 0.000 0.000
Ti1 Ti 0.500 0.500 0.500
Ir1 Ir 0.000 0.500 0.500
I1 I 0.500 0.500 0.000
```

Crystal system = tetragonal
Theoretical density = 8.3 g cm⁻³
Energy relative to the elements, uncorrected = 0.60 eV per atom

=====

(4)
DFT (PBE) results for a relaxed structure of CePm5Y4.

CIF file:
```
data_CePm5Y4
_cell_length_a 17.952
_cell_length_b 3.511
_cell_length_c 11.119
_cell_angle_alpha 90.00
_cell_angle_beta 106.97
_cell_angle_gamma 90.00
_symmetry_space_group_name_H-M 'C 1 2/m 1'
_symmetry_Int_Tables_number 12
_symmetry_space_group_name_Hall '-C 2y'
loop_
_atom_site_label
_atom_site_type_symbol
_atom_site_fract_x
_atom_site_fract_y
_atom_site_fract_z
Ce1 Ce 0.000 0.000 0.000
Pm1 Pm 0.000 0.000 0.500
Pm2 Pm 0.104 0.500 0.285
Pm3 Pm 0.206 0.500 0.599
Y1 Y 0.094 0.500 0.811
Y2 Y 0.196 0.000 0.084
```

Crystal system = monoclinic
ΔE_f = 0.1095 eV/atom
Theoretical density = 6.0 g cm⁻³

=====

(5)
DFT (PBE) results for a relaxed structure of Ga2Tc2Se.

CIF file:
```
data_Ga2Tc2Se
_cell_length_a 6.762
_cell_length_b 6.762
_cell_length_c 3.493
_cell_angle_alpha 90.00
_cell_angle_beta 90.00
_cell_angle_gamma 90.00
_symmetry_space_group_name_H-M 'P 4/m b m'
_symmetry_Int_Tables_number 127
_symmetry_space_group_name_Hall '-P 4 2ab'
loop_
_atom_site_label
_atom_site_type_symbol
_atom_site_fract_x
_atom_site_fract_y
_atom_site_fract_z
Ga1 Ga 0.137 0.363 0.000
Tc1 Tc 0.162 0.662 0.500
Se1 Se 0.000 0.000 0.500
```

Crystal system = tetragonal
Theoretical density = 8.6 g cm⁻³
Energy relative to the elements, uncorrected = 0.07 eV per atom

=====

(6)
DFT (PBE) results for a relaxed structure of SmCd2Au9.

CIF file:
```
data_SmCd2Au9
_cell_length_a 5.5922
_cell_length_b 5.5922
_cell_length_c 27.5497
_cell_angle_alpha 90.00
_cell_angle_beta 90.00
_cell_angle_gamma 120.00
_symmetry_space_group_name_H-M 'R -3 m'
_symmetry_Int_Tables_number 166
_symmetry_space_group_name_Hall '-R 3 2"'
loop_
_atom_site_label
_atom_site_type_symbol
_atom_site_fract_x
_atom_site_fract_y
_atom_site_fract_z
Sm1 Sm 0.0000 0.0000 0.0000
Cd1 Cd 0.0000 0.0000 0.1435
Au1 Au 0.0000 0.0000 0.3331
Au2 Au 0.0000 0.0000 0.5000
Au3 Au 0.0039 0.5020 0.9146
```

Crystal system = trigonal
ΔE_f = -0.2238 eV/atom
Theoretical density = 14.3 g cm⁻³

=====

(7)
DFT (PBE) results for a relaxed structure of MgTa2P.

CIF file:
```
data_MgTa2P
_cell_length_a 2.953
_cell_length_b 4.357
_cell_length_c 5.405
_cell_angle_alpha 90.00
_cell_angle_beta 97.23
_cell_angle_gamma 90.00
_symmetry_space_group_name_H-M 'P 1 2/m 1'
_symmetry_Int_Tables_number 10
_symmetry_space_group_name_Hall '-P 2y'
loop_
_atom_site_label
_atom_site_type_symbol
_atom_site_fract_x
_atom_site_fract_y
_atom_site_fract_z
Mg1 Mg 0.000 0.000 0.000
Ta1 Ta 0.358 0.500 0.744
P1 P 0.500 0.000 0.500
```

Crystal system = monoclinic
ΔE_f = 0.0613 eV/atom
Theoretical density = 10.0 g cm⁻³

=====

Q: theoretical density of number 7 (MgTa2P)?
A: 10.0 g cm⁻³

=====

What did the fourth record say?
DFT (PBE) results for a relaxed structure of CePm5Y4.

CIF file:
```
data_CePm5Y4
_cell_length_a 17.952
_cell_length_b 3.511
_cell_length_c 11.119
_cell_angle_alpha 90.00
_cell_angle_beta 106.97
_cell_angle_gamma 90.00
_symmetry_space_group_name_H-M 'C 1 2/m 1'
_symmetry_Int_Tables_number 12
_symmetry_space_group_name_Hall '-C 2y'
loop_
_atom_site_label
_atom_site_type_symbol
_atom_site_fract_x
_atom_site_fract_y
_atom_site_fract_z
Ce1 Ce 0.000 0.000 0.000
Pm1 Pm 0.000 0.000 0.500
Pm2 Pm 0.104 0.500 0.285
Pm3 Pm 0.206 0.500 0.599
Y1 Y 0.094 0.500 0.811
Y2 Y 0.196 0.000 0.084
```

Crystal system = monoclinic
ΔE_f = 0.1095 eV/atom
Theoretical density = 6.0 g cm⁻³

=====

Q: theoretical density of number 5 (Ga2Tc2Se)?
A: 8.6 g cm⁻³

=====

Q: The highest theoretical density belongs to which entry?
A: LaTlRe2